(1)
MoI3 after structural relaxation, computed with GGA-PBE.

```
data_MoI3
_chemical_formula_sum 'Mo2 I6'
_space_group_name_H-M_alt 'P 63/m m c'
_space_group_IT_number 194
_space_group_name_Hall '-P 6c 2c'
_cell_length_a 10.9078
_cell_length_b 10.9078
_cell_length_c 3.7184
_cell_angle_alpha 90.00
_cell_angle_beta 90.00
_cell_angle_gamma 120.00
loop_
_atom_site_label
_atom_site_fract_x
_atom_site_fract_y
_atom_site_fract_z
_atom_site_occupancy
Mo1 0.3333 0.6667 0.2500 1
I1 0.2206 0.4412 0.7500 1
```

Results
* crystal system: hexagonal
* formation energy without anion corrections: 0.177 eV/f.u.

=====

(2)
BaCr2P after structural relaxation, computed with GGA-PBE.

```
data_BaCr2P
_chemical_formula_sum 'Ba2 Cr4 P2'
_space_group_name_H-M_alt 'I m m m'
_space_group_IT_number 71
_space_group_name_Hall '-I 2 2'
_cell_length_a 3.4092
_cell_length_b 5.7875
_cell_length_c 9.7635
_cell_angle_alpha 90.00
_cell_angle_beta 90.00
_cell_angle_gamma 90.00
loop_
_atom_site_label
_atom_site_fract_x
_atom_site_fract_y
_atom_site_fract_z
_atom_site_occupancy
Ba1 0.0000 0.0000 0.0000 1
Cr1 0.0000 0.5000 0.1731 1
P1 0.0000 0.0000 0.5000 1
```

Results
* crystal system: orthorhombic
* calculated formation energy: 0.413 eV/atom

=====

(3)
K3Pr2DyS6 after structural relaxation, computed with GGA-PBE.

```
data_K3Pr2DyS6
_chemical_formula_sum 'K6 Pr4 Dy2 S12'
_space_group_name_H-M_alt 'C 1 2/m 1'
_space_group_IT_number 12
_space_group_name_Hall '-C 2y'
_cell_length_a 7.2246
_cell_length_b 12.5137
_cell_length_c 7.7807
_cell_angle_alpha 90.00
_cell_angle_beta 108.05
_cell_angle_gamma 90.00
loop_
_atom_site_label
_atom_site_fract_x
_atom_site_fract_y
_atom_site_fract_z
_atom_site_occupancy
K1 0.0000 0.0000 0.0000 1
K2 0.0000 0.3325 0.0000 1
Pr1 0.0000 0.1666 0.5000 1
Dy1 0.0000 0.5000 0.5000 1
S1 0.2305 0.3383 0.7063 1
S2 0.2455 0.0000 0.7060 1
```

Results
* crystal system: monoclinic
* formation energy without anion corrections: -22.245 eV/f.u.

=====

(4)
Re3SbO after structural relaxation, computed with GGA-PBE.

```
data_Re3SbO
_chemical_formula_sum 'Re3 Sb1 O1'
_space_group_name_H-M_alt 'P m -3 m'
_space_group_IT_number 221
_space_group_name_Hall '-P 4 2 3'
_cell_length_a 4.1895
_cell_length_b 4.1895
_cell_length_c 4.1895
_cell_angle_alpha 90.00
_cell_angle_beta 90.00
_cell_angle_gamma 90.00
loop_
_atom_site_label
_atom_site_fract_x
_atom_site_fract_y
_atom_site_fract_z
_atom_site_occupancy
Re1 0.0000 0.0000 0.5000 1
Sb1 0.5000 0.5000 0.5000 1
O1 0.0000 0.0000 0.0000 1
```

Results
* crystal system: cubic
* formation energy without anion corrections: 4.016 eV/f.u.

=====

(5)
Ac4ZnPd after structural relaxation, computed with GGA-PBE.

```
data_Ac4ZnPd
_chemical_formula_sum 'Ac8 Zn2 Pd2'
_space_group_name_H-M_alt 'P 1 21/m 1'
_space_group_IT_number 11
_space_group_name_Hall '-P 2yb'
_cell_length_a 6.8812
_cell_length_b 7.6483
_cell_length_c 8.6008
_cell_angle_alpha 90.00
_cell_angle_beta 108.17
_cell_angle_gamma 90.00
loop_
_atom_site_label
_atom_site_fract_x
_atom_site_fract_y
_atom_site_fract_z
_atom_site_occupancy
Ac1 0.0035 0.0002 0.2394 1
Ac2 0.4317 0.2500 0.6182 1
Ac3 0.4389 0.2500 0.1003 1
Zn1 0.2073 0.7500 0.5522 1
Pd1 0.2109 0.7500 0.0523 1
```

Results
* crystal system: monoclinic
* calculated formation energy: -0.303 eV/atom

=====

(6)
KInBr4 after structural relaxation, computed with GGA-PBE.

```
data_KInBr4
_chemical_formula_sum 'K4 In4 Br16'
_space_group_name_H-M_alt 'P n n a'
_space_group_IT_number 52
_space_group_name_Hall '-P 2a 2bc'
_cell_length_a 7.9885
_cell_length_b 10.8323
_cell_length_c 10.7822
_cell_angle_alpha 90.00
_cell_angle_beta 90.00
_cell_angle_gamma 90.00
loop_
_atom_site_label
_atom_site_fract_x
_atom_site_fract_y
_atom_site_fract_z
_atom_site_occupancy
K1 0.1811 0.2500 0.2500 1
In1 0.2500 0.0000 0.6789 1
Br1 0.0048 0.5386 0.3170 1
Br2 0.1590 0.6855 0.9498 1
```

Results
* crystal system: orthorhombic
* formation energy without anion corrections: -6.968 eV/f.u.

=====

(7)
TaRe2PdW after structural relaxation, computed with GGA-PBE.

```
data_TaRe2PdW
_chemical_formula_sum 'Ta1 Re2 Pd1 W1'
_space_group_name_H-M_alt 'P 4/m m m'
_space_group_IT_number 123
_space_group_name_Hall '-P 4 2'
_cell_length_a 4.6981
_cell_length_b 4.6981
_cell_length_c 4.6768
_cell_angle_alpha 90.00
_cell_angle_beta 90.00
_cell_angle_gamma 90.00
loop_
_atom_site_label
_atom_site_fract_x
_atom_site_fract_y
_atom_site_fract_z
_atom_site_occupancy
Ta1 0.0000 0.0000 0.0000 1
Re1 0.0000 0.5000 0.5000 1
Pd1 0.5000 0.5000 0.0000 1
W1 0.5000 0.5000 0.5000 1
```

Results
* crystal system: tetragonal
* calculated formation energy: 1.955 eV/atom

=====

(8)
Nd2Dy6Tm3Pb after structural relaxation, computed with GGA-PBE.

```
data_Nd2Dy6Tm3Pb
_chemical_formula_sum 'Nd4 Dy12 Tm6 Pb2'
_space_group_name_H-M_alt 'C 1 2/m 1'
_space_group_IT_number 12
_space_group_name_Hall '-C 2y'
_cell_length_a 6.0855
_cell_length_b 10.5423
_cell_length_c 11.7423
_cell_angle_alpha 90.00
_cell_angle_beta 99.95
_cell_angle_gamma 90.00
loop_
_atom_site_label
_atom_site_fract_x
_atom_site_fract_y
_atom_site_fract_z
_atom_site_occupancy
Nd1 0.0000 0.1663 0.0000 1
Dy1 0.2428 0.5000 0.7464 1
Dy2 0.2476 0.3363 0.2528 1
Tm1 0.0000 0.0000 0.5000 1
Tm2 0.0000 0.3327 0.5000 1
Pb1 0.0000 0.5000 0.0000 1
```

Results
* crystal system: monoclinic
* calculated formation energy: -0.063 eV/atom